{
  "formula": "TcSbPb2",
  "functional": "PBE-GGA",
  "state": "optimized geometry",
  "total_energy_ev_per_atom": -5.154,
  "density_g_cm3": 10.28,
  "spacegroup": "No. 44",
  "e_form_raw_ev_per_atom": 0.3226,
  "cell": [[-2.873, -6.007, 2.871], [-3.408, -5.756, -2.799], [5.592, 4.577, 0.608]],
  "species": ["Pb", "Pb", "Sb", "Tc"],
  "frac_coords": [[0.062, 0.062, 0.000], [0.745, 0.245, 0.500], [0.427, 0.427, 0.000], [0.265, 0.765, 0.500]]
}

***

{
  "formula": "Rb7BiAu2Br2",
  "functional": "PBE-GGA",
  "state": "optimized geometry",
  "total_energy_ev_per_atom": -2.439,
  "density_g_cm3": 4.03,
  "spacegroup": "No. 44",
  "e_form_raw_ev_per_atom": -0.7266,
  "cell": [[6.731, 0.000, 0.000], [0.000, 6.764, 0.000], [-3.366, -3.382, 12.305]],
  "species": ["Rb", "Rb", "Rb", "Rb", "Rb", "Rb", "Rb", "Bi", "Au", "Au", "Br", "Br"],
  "frac_coords": [[0.401, 0.885, 0.801], [0.770, 0.785, 0.539], [0.098, 0.612, 0.195], [0.599, 0.084, 0.199], [0.230, 0.246, 0.461], [0.902, 0.417, 0.805], [0.500, 0.436, 0.000], [0.000, 0.026, 0.000], [0.368, 0.358, 0.735], [0.632, 0.623, 0.265], [0.250, 0.763, 0.499], [0.750, 0.264, 0.501]]
}

***

{
  "formula": "Pr13Rh2",
  "functional": "PBE-GGA",
  "state": "optimized geometry",
  "total_energy_ev_per_atom": -5.262,
  "density_g_cm3": 6.72,
  "spacegroup": "No. 2",
  "e_form_mev_per_atom": -139,
  "cell": [[6.781, -0.171, 0.313], [-1.075, 8.354, -0.133], [-0.202, -4.297, 8.950]],
  "species": ["Pr", "Pr", "Pr", "Pr", "Pr", "Pr", "Pr", "Pr", "Pr", "Pr", "Pr", "Pr", "Pr", "Rh", "Rh"],
  "frac_coords": [[0.765, 0.600, 0.045], [0.235, 0.400, 0.955], [0.000, 0.000, 0.000], [0.167, 0.970, 0.627], [0.833, 0.030, 0.373], [0.000, 0.484, 0.670], [0.000, 0.516, 0.330], [0.523, 0.673, 0.444], [0.477, 0.327, 0.556], [0.461, 0.773, 0.850], [0.539, 0.227, 0.150], [0.696, 0.141, 0.772], [0.304, 0.859, 0.228], [0.816, 0.780, 0.687], [0.184, 0.220, 0.313]]
}

***

{
  "formula": "ScTc2Br",
  "functional": "PBE-GGA",
  "state": "optimized geometry",
  "total_energy_ev_per_atom": -6.980,
  "e_above_lowest_polymorph_mev_per_atom": 374,
  "density_g_cm3": 6.75,
  "spacegroup": "No. 8",
  "e_form_raw_ev_per_atom": 0.2040,
  "cell": [[4.984, 0.007, 0.025], [3.825, 3.196, 0.025], [1.559, 0.567, 4.973]],
  "species": ["Br", "Sc", "Tc", "Tc"],
  "frac_coords": [[0.466, 0.466, 0.424], [0.208, 0.208, 0.331], [0.073, 0.073, 0.931], [0.753, 0.753, 0.815]]
}

***

{
  "formula": "PaGaFeH",
  "functional": "PBE-GGA",
  "state": "optimized geometry",
  "total_energy_ev_per_atom": -6.428,
  "density_g_cm3": 10.67,
  "spacegroup": "No. 38",
  "cell": [[4.166, 0.000, 0.000], [-2.083, 3.870, 0.007], [0.000, -0.006, 3.452]],
  "species": ["Pa", "Ga", "Fe", "H"],
  "frac_coords": [[0.586, 0.173, 0.310], [0.906, 0.811, 0.810], [0.223, 0.447, 0.810], [0.239, 0.478, 0.310]]
}

***

{
  "formula": "Al3OsO",
  "functional": "PBE-GGA",
  "state": "optimized geometry",
  "total_energy_ev_per_atom": -6.118,
  "e_above_lowest_polymorph_mev_per_atom": 0,
  "density_g_cm3": 7.55,
  "spacegroup": "No. 221",
  "e_form_raw_ev_per_atom": -0.6345,
  "cell": [[3.982, 0.000, 0.000], [0.000, 3.982, 0.000], [0.000, 0.000, 3.982]],
  "species": ["Os", "Al", "Al", "Al", "O"],
  "frac_coords": [[0.500, 0.500, 0.500], [0.000, 0.500, 0.000], [0.000, 0.000, 0.500], [0.500, 0.000, 0.000], [0.000, 0.000, 0.000]]
}

***

{
  "formula": "K2RbTlCl4",
  "functional": "PBE-GGA",
  "state": "optimized geometry",
  "total_energy_ev_per_atom": -3.334,
  "density_g_cm3": 3.10,
  "spacegroup": "No. 10",
  "e_form_raw_ev_per_atom": -1.7194,
  "cell": [[4.585, 0.000, 0.000], [0.000, 7.958, -0.168], [0.000, 2.789, 7.426]],
  "species": ["K", "K", "Rb", "Tl", "Cl", "Cl", "Cl", "Cl"],
  "frac_coords": [[0.000, 0.000, 0.000], [0.500, 0.000, 0.500], [0.000, 0.500, 0.500], [0.500, 0.500, 0.000], [0.000, 0.760, 0.749], [0.000, 0.240, 0.251], [0.500, 0.761, 0.244], [0.500, 0.239, 0.756]]
}

***

{
  "formula": "Sc5Pb3Se12",
  "functional": "PBE-GGA",
  "state": "optimized geometry",
  "total_energy_ev_per_atom": -5.210,
  "density_g_cm3": 5.14,
  "spacegroup": "No. 230",
  "e_form_raw_ev_per_atom": -0.9797,
  "cell": [[14.438, 0.000, 0.000], [-4.813, 13.612, 0.000], [-4.813, -6.806, 11.788]],
  "species": ["Pb", "Pb", "Pb", "Pb", "Pb", "Pb", "Pb", "Pb", "Pb", "Pb", "Pb", "Pb", "Sc", "Sc", "Sc", "Sc", "Sc", "Sc", "Sc", "Sc", "Sc", "Sc", "Sc", "Sc", "Sc", "Sc", "Sc", "Sc", "Sc", "Sc", "Sc", "Sc", "Se", "Se", "Se", "Se", "Se", "Se", "Se", "Se", "Se", "Se", "Se", "Se", "Se", "Se", "Se", "Se", "Se", "Se", "Se", "Se", "Se", "Se", "Se", "Se", "Se", "Se", "Se", "Se", "Se", "Se", "Se", "Se", "Se", "Se", "Se", "Se", "Se", "Se", "Se", "Se", "Se", "Se", "Se", "Se", "Se", "Se", "Se", "Se"],
  "frac_coords": [[0.750, 0.375, 0.125], [0.875, 0.750, 0.125], [0.375, 0.750, 0.625], [0.250, 0.125, 0.375], [0.875, 0.125, 0.250], [0.375, 0.625, 0.250], [0.625, 0.375, 0.750], [0.125, 0.875, 0.750], [0.750, 0.875, 0.625], [0.625, 0.250, 0.375], [0.125, 0.250, 0.875], [0.250, 0.625, 0.875], [0.125, 0.375, 0.250], [0.000, 0.500, 0.000], [0.000, 0.000, 0.000], [0.375, 0.250, 0.125], [0.500, 0.000, 0.500], [0.500, 0.500, 0.000], [0.125, 0.750, 0.375], [0.750, 0.125, 0.875], [0.750, 0.625, 0.375], [0.375, 0.125, 0.750], [0.625, 0.875, 0.250], [0.500, 0.500, 0.500], [0.500, 0.000, 0.000], [0.000, 0.000, 0.500], [0.250, 0.375, 0.625], [0.250, 0.875, 0.125], [0.000, 0.500, 0.500], [0.875, 0.250, 0.625], [0.625, 0.750, 0.875], [0.875, 0.625, 0.750], [0.710, 0.116, 0.032], [0.322, 0.532, 0.416], [0.968, 0.384, 0.290], [0.532, 0.210, 0.116], [0.593, 0.710, 0.678], [0.968, 0.584, 0.178], [0.322, 0.790, 0.407], [0.084, 0.907, 0.116], [0.584, 0.968, 0.678], [0.710, 0.593, 0.178], [0.790, 0.468, 0.384], [0.822, 0.916, 0.032], [0.116, 0.710, 0.532], [0.384, 0.416, 0.093], [0.093, 0.916, 0.384], [0.407, 0.116, 0.584], [0.093, 0.178, 0.210], [0.468, 0.678, 0.084], [0.822, 0.907, 0.290], [0.116, 0.407, 0.084], [0.384, 0.968, 0.790], [0.584, 0.616, 0.407], [0.916, 0.822, 0.532], [0.790, 0.322, 0.907], [0.416, 0.384, 0.593], [0.084, 0.178, 0.468], [0.210, 0.678, 0.093], [0.178, 0.093, 0.710], [0.616, 0.032, 0.210], [0.884, 0.593, 0.916], [0.532, 0.322, 0.916], [0.593, 0.884, 0.416], [0.907, 0.822, 0.790], [0.907, 0.084, 0.616], [0.884, 0.290, 0.468], [0.178, 0.084, 0.968], [0.616, 0.584, 0.907], [0.416, 0.032, 0.322], [0.290, 0.407, 0.822], [0.210, 0.532, 0.616], [0.916, 0.093, 0.884], [0.678, 0.210, 0.593], [0.468, 0.790, 0.884], [0.032, 0.416, 0.822], [0.407, 0.290, 0.322], [0.032, 0.616, 0.710], [0.678, 0.468, 0.584], [0.290, 0.884, 0.968]]
}

***

{
  "formula": "Sc2AgSbBr",
  "functional": "PBE-GGA",
  "state": "optimized geometry",
  "total_energy_ev_per_atom": -4.208,
  "density_g_cm3": 4.19,
  "spacegroup": "No. 123",
  "e_form_raw_ev_per_atom": 0.0539,
  "cell": [[5.521, 0.000, 0.000], [0.000, 5.198, 0.000], [0.000, 0.000, 5.521]],
  "species": ["Sc", "Sc", "Sb", "Br", "Ag"],
  "frac_coords": [[0.000, 0.000, 0.500], [0.500, 0.000, 0.000], [0.000, 0.000, 0.000], [0.500, 0.500, 0.500], [0.000, 0.500, 0.000]]
}

***

{
  "formula": "NdSm2Ag3",
  "functional": "PBE-GGA",
  "state": "optimized geometry",
  "total_energy_ev_per_atom": -4.068,
  "density_g_cm3": 8.22,
  "spacegroup": "No. 123",
  "e_form_mev_per_atom": -274,
  "cell": [[-0.512, -0.442, -3.654], [3.661, 0.325, -0.552], [1.166, -11.118, 1.181]],
  "species": ["Nd", "Sm", "Sm", "Ag", "Ag", "Ag"],
  "frac_coords": [[0.500, 0.500, 0.500], [0.500, 0.500, 0.835], [0.500, 0.500, 0.165], [0.000, 0.000, 0.000], [0.000, 0.000, 0.672], [0.000, 0.000, 0.328]]
}

***

{
  "formula": "BaNiS",
  "functional": "PBE-GGA",
  "state": "optimized geometry",
  "total_energy_ev_per_atom": -4.951,
  "density_g_cm3": 5.31,
  "spacegroup": "No. 71",
  "e_form_raw_ev_per_atom": -1.0067,
  "cell": [[-2.527, 1.475, -5.572], [-5.669, -0.738, 2.632], [0.599, 3.922, -0.692]],
  "species": ["Ni", "Ni", "S", "S", "Ba", "Ba"],
  "frac_coords": [[0.388, 0.411, 0.916], [0.062, 0.737, 0.242], [0.487, 0.312, 0.317], [0.964, 0.835, 0.841], [0.954, 0.302, 0.579], [0.497, 0.846, 0.579]]
}

***

{
  "formula": "NaZr3Pd",
  "functional": "PBE-GGA",
  "state": "optimized geometry",
  "total_energy_ev_per_atom": -4.968,
  "e_above_lowest_polymorph_mev_per_atom": 914,
  "density_g_cm3": 5.65,
  "spacegroup": "No. 221",
  "e_form_mev_per_atom": 1463,
  "cell": [[-4.305, -0.239, 2.352], [1.175, -4.456, 1.698], [2.051, 2.051, 3.963]],
  "species": ["Na", "Zr", "Zr", "Zr", "Pd"],
  "frac_coords": [[0.000, 0.000, 0.000], [0.000, 0.500, 0.000], [0.000, 0.000, 0.500], [0.500, 0.000, 0.000], [0.500, 0.500, 0.500]]
}